Entry 1:
# CeSm2VN4 (PBE-GGA, optimized geometry)
# E_form (uncorrected) (meV/atom): -1237
# E (hartree per atom): -0.3109
# Total magnetic moment (μB/f.u.): 0.7
data_CeSm2VN4
_cell_length_a 3.428
_cell_length_b 6.153
_cell_length_c 12.074
_cell_angle_alpha 90.00
_cell_angle_beta 90.00
_cell_angle_gamma 106.17
_symmetry_space_group_name_H-M 'P 1'
_symmetry_Int_Tables_number 1
loop_
_symmetry_equiv_pos_as_xyz
'x,y,z'
loop_
_atom_site_label
_atom_site_fract_x
_atom_site_fract_y
_atom_site_fract_z
Ce1 0.087 0.174 0.750
Ce2 0.913 0.826 0.250
Sm1 0.369 0.738 0.543
Sm2 0.631 0.262 0.043
Sm3 0.631 0.262 0.457
Sm4 0.369 0.738 0.957
V1 0.825 0.650 0.750
V2 0.175 0.350 0.250
N1 0.269 0.538 0.132
N2 0.731 0.462 0.632
N3 0.731 0.462 0.868
N4 0.269 0.538 0.368
N5 0.000 0.000 0.500
N6 0.000 0.000 0.000
N7 0.424 0.849 0.750
N8 0.576 0.151 0.250


Entry 2:
# CeSmWN4 (PBE-GGA, optimized geometry)
# E_form (uncorrected) (meV/atom): -1128
# E (hartree per atom): -0.3402
# Total magnetic moment (μB/f.u.): 0.5
data_CeSmWN4
_cell_length_a 5.580
_cell_length_b 5.591
_cell_length_c 6.786
_cell_angle_alpha 90.00
_cell_angle_beta 114.28
_cell_angle_gamma 90.00
_symmetry_space_group_name_H-M 'P 1'
_symmetry_Int_Tables_number 1
loop_
_symmetry_equiv_pos_as_xyz
'x,y,z'
loop_
_atom_site_label
_atom_site_fract_x
_atom_site_fract_y
_atom_site_fract_z
Ce1 0.102 0.250 0.204
Ce2 0.898 0.750 0.796
Sm1 0.608 0.750 0.216
Sm2 0.392 0.250 0.784
W1 0.261 0.750 0.521
W2 0.739 0.250 0.479
N1 0.925 0.250 0.851
N2 0.420 0.750 0.840
N3 0.075 0.750 0.149
N4 0.580 0.250 0.160
N5 0.500 0.500 0.500
N6 0.000 0.000 0.500
N7 0.500 0.000 0.500
N8 0.000 0.500 0.500